# 1
Compound: LaGdHoTh
Source: the Alexandria database
Functional: PBE
Structure: optimized geometry

Unit cell a=5.7289 b=5.7289 c=5.7289 alpha=60.00 beta=60.00 gamma=60.00
Last column: magnetic moment on the atom in μB.
Element x y z (fractional)
Gd 0.0000 0.0000 0.0000  -7.20
Ho 0.5000 0.5000 0.5000  0.09
Th 0.7500 0.7500 0.7500  -0.01
La 0.2500 0.2500 0.2500  -0.03

Values from the calculation:
density of states at the Fermi level: 1.96 states/eV per atom
uncorrected energy: -7.622 eV per atom

# 2
Compound: Pm4Tm2MgSc
Source: the Alexandria database
Functional: PBE
Structure: optimized geometry

Unit cell a=5.0390 b=5.0399 c=10.8491 alpha=62.29 beta=90.00 gamma=90.00
Element x y z (fractional)
Pm 0.0000 0.7511 0.7494
Pm 0.0000 0.2489 0.2506
Pm 0.5000 0.7487 0.2507
Pm 0.5000 0.2513 0.7493
Tm 0.0000 0.0000 0.0000
Tm 0.5000 0.0000 0.5000
Mg 0.5000 0.5000 0.0000
Sc 0.0000 0.5000 0.5000

Values from the calculation:
density of states at the Fermi level: 1.34 states/eV per atom
uncorrected energy: -4.466 eV per atom

# 3
Compound: CrCoRe2
Source: the Alexandria database
Functional: PBE
Structure: optimized geometry

Unit cell a=4.5862 b=4.5862 c=4.5862 alpha=131.83 beta=131.83 gamma=70.49
Element x y z (fractional)
Co 0.5000 0.5000 0.0000
Cr 0.7500 0.2500 0.5000
Re 0.0000 0.0000 0.0000
Re 0.2500 0.7500 0.5000

Values from the calculation:
density of states at the Fermi level: 1.02 states/eV per atom
ΔE to the lowest computed polymorph: 10.3 meV per atom

# 4
Compound: La3TbNd3Se8
Source: the Alexandria database
Functional: PBE
Structure: optimized geometry

Unit cell a=8.4732 b=8.4732 c=8.5334 alpha=119.77 beta=90.00 gamma=120.00
Element x y z (fractional)
La 0.0000 0.0000 0.0000
La 0.0000 0.5000 0.0000
La 0.5000 0.5000 0.0000
Tb 0.0000 0.0000 0.5000
Nd 0.5000 0.0000 0.5000
Nd 0.5000 0.5000 0.5000
Nd 0.0000 0.5000 0.5000
Se 0.2514 0.5028 0.2542
Se 0.7486 0.4972 0.7458
Se 0.7556 0.5112 0.2586
Se 0.2444 0.4888 0.7414
Se 0.7556 0.0030 0.2586
Se 0.2444 0.9970 0.7414
Se 0.2474 0.0030 0.2586
Se 0.7526 0.9970 0.7414

Values from the calculation:
formation energy from raw total energies: -187 kJ/mol of atoms
density of states at the Fermi level: 0.52 states/eV per atom